No. 1
The following is a DFT calculation (PBE) of a relaxed K3RbAu crystal.

a b c (Å): 6.829 13.750 9.252
angles (deg): 80.16 47.34 99.58
Fractional coordinates of all 10 atoms:
1 K 0.976 0.471 0.432
2 K 0.218 0.225 0.620
3 K 0.746 0.727 0.733
4 K 0.711 0.691 0.258
5 K 0.215 0.225 0.127
6 K 0.960 0.449 0.945
7 Au 0.658 0.174 0.165
8 Au 0.065 0.016 0.502
9 Rb 0.487 0.954 0.055
10 Rb 0.490 0.953 0.554

Properties
* space group: No. 1
* crystal system: triclinic
* ΔE to the lowest computed polymorph: 7 meV/atom

***

No. 2
The following is a DFT calculation (PBE) of a relaxed Hf4Fe3Ru crystal.

a b c (Å): 3.174 3.174 12.606
angles (deg): 90.00 90.00 90.00
Fractional coordinates of all 8 atoms:
1 Ru 0.500 0.500 0.000
2 Hf 0.000 0.000 0.869
3 Hf 0.000 0.000 0.131
4 Hf 0.000 0.000 0.377
5 Hf 0.000 0.000 0.623
6 Fe 0.500 0.500 0.253
7 Fe 0.500 0.500 0.500
8 Fe 0.500 0.500 0.747

Properties
* space group: No. 123
* electronic total energy: -9.7498 eV/atom
* crystal system: tetragonal

***

No. 3
The following is a DFT calculation (PBE) of a relaxed AcTb6Dy3Y2 crystal.

a b c (Å): 6.221 6.221 11.927
angles (deg): 94.97 94.97 119.97
Fractional coordinates of all 12 atoms:
1 Ac 0.000 0.000 0.000
2 Tb 0.914 0.579 0.745
3 Tb 0.750 0.750 0.255
4 Tb 0.086 0.421 0.255
5 Tb 0.579 0.914 0.745
6 Tb 0.250 0.250 0.745
7 Tb 0.421 0.086 0.255
8 Dy 0.167 0.833 0.500
9 Dy 0.833 0.167 0.500
10 Dy 0.500 0.500 0.500
11 Y 0.333 0.667 0.000
12 Y 0.667 0.333 0.000

Properties
* space group: No. 12
* electronic total energy: -4.8559 eV/atom
* crystal system: monoclinic